Here is Fe2AsO5 after structural relaxation from Alexandria. Energies are from PBE+U.

Lattice parameters (Å, degrees): 4.9671 5.5221 5.6516 77.16 61.13 60.42
Last column: magnetic moment on the atom in μB.
Positions (direct):
O 0.0349 0.3012 0.8290  -0.05
O 0.0920 0.8303 0.2778  -0.05
O 0.5876 0.2775 0.2776  -0.03
O 0.4064 0.7724 0.7780  -0.03
O 0.7340 0.9175 0.9324  0.04
Fe 0.5959 0.0669 0.6148  3.72
Fe 0.5789 0.6004 0.0546  3.24
As 0.9704 0.0107 0.0129  0.02

Results
energy above the most stable polymorph in this dataset: 0.107 eV/atom
space group: No. 1
volume: 14.75 Å³/atom
total moment: 7.00 μB/f.u.